Computed, not measured: crystalline KRu at its relaxed geometry at the PBE level of DFT.

Geometry as POSCAR:
```
KRu
1.0
6.130 0.000 0.000
0.000 14.547 0.000
0.000 0.000 8.963
Ru K
16 16
Cartesian
3.065 8.409 0.000
0.000 13.411 0.000
4.598 12.046 6.722
4.598 2.501 2.241
3.065 6.138 0.000
1.533 4.772 6.722
3.065 13.411 4.482
4.598 4.772 2.241
1.533 9.774 2.241
0.000 1.136 0.000
0.000 8.409 4.482
1.533 2.501 6.722
3.065 1.136 4.482
0.000 6.138 4.482
1.533 12.046 2.241
4.598 9.774 6.722
4.598 3.637 8.141
0.000 0.000 3.063
1.533 3.637 0.822
4.598 3.637 5.303
4.598 10.910 0.822
0.000 7.273 7.544
0.000 7.273 1.419
3.065 7.273 5.901
1.533 3.637 3.660
3.065 0.000 7.544
1.533 10.910 8.141
3.065 7.273 3.063
1.533 10.910 5.303
0.000 0.000 5.901
4.598 10.910 3.660
3.065 0.000 1.419
```

Computed properties:
* formation enthalpy at 0 K: 1.2222 eV per atom
* total energy: -3.964 eV/atom
* density of states at the Fermi level: 45.025 states/eV per cell
* space-group type: Fddd
* relative energy among the computed polymorphs: 1.368 eV per formula unit



Computed, not measured: crystalline KRu at its relaxed geometry at the PBE level of DFT.

Geometry as POSCAR:
```
KRu
1.0
-2.549 -4.387 -2.243
2.329 -0.411 5.018
-6.845 2.258 3.363
K Ru
4 4
Cartesian
-5.134 1.693 2.522
-2.634 -2.497 1.018
-4.430 -0.043 5.119
-1.711 0.564 0.841
-5.099 -1.684 2.229
-0.050 -1.488 2.968
-7.014 -1.053 3.170
-1.966 -0.856 3.909
```

Computed properties:
* formation enthalpy at 0 K: 1.4450 eV per atom
* total energy: -3.742 eV/atom
* density of states at the Fermi level: 9.814 states/eV per cell
* space-group type: P6_3/mmc
* relative energy among the computed polymorphs: 1.813 eV per formula unit



Computed, not measured: crystalline KRu at its relaxed geometry at the PBE level of DFT.

Geometry as POSCAR:
```
KRu
1.0
-2.830 -3.050 1.230
-0.544 -0.912 4.207
-10.288 9.364 1.178
Ru K
3 3
Cartesian
-8.764 5.841 2.538
-10.407 2.624 6.110
-9.586 4.232 4.324
-12.773 4.865 6.317
-4.444 -0.453 3.739
-6.399 3.599 2.331
```

Computed properties:
* formation enthalpy at 0 K: 0.5384 eV per atom
* total energy: -4.648 eV/atom
* density of states at the Fermi level: 4.600 states/eV per cell
* space-group type: Cm
* relative energy among the computed polymorphs: 0.000 eV per formula unit